A plane-wave DFT calculation with PBE was carried out for crystalline NdZr2F11 at its relaxed geometry.

Computed properties:
**Total magnetization**: 0.0 μB per formula unit
**Raw formation energy**: -3.819 eV per atom
**Space group**: Ibam

Cell: 8.4767 8.4767 8.4767 Å, 124.53 106.26 98.82°
Last column: nearest neighbours and their distance in Å.
Positions (direct):
1 Nd 0.2500 0.7500 0.5000  8 F 2.38-2.40
2 F 0.2074 0.3968 0.3434  1 Zr 2.07
3 Zr 0.3187 0.6347 0.9533  7 F 2.06-2.13
4 F 0.0535 0.8640 0.6566  1 Zr 2.07
5 F 0.2179 0.8710 0.0889  2 Zr 2.11-2.13
6 F 0.9465 0.1360 0.3434  1 Zr 2.07
7 F 0.5460 0.7608 0.5811  1 Zr 2.06
8 F 0.4540 0.2392 0.4189  1 Zr 2.06
9 F 0.5000 0.5000 0.0000  2 Zr 2.13
10 Zr 0.8187 0.8653 0.6840  7 F 2.06-2.13
11 Nd 0.7500 0.2500 0.5000  8 F 2.38-2.40
12 Zr 0.6813 0.3653 0.0467  7 F 2.06-2.13
13 F 0.2821 0.3710 0.6531  2 Zr 2.11-2.13
14 F 0.3203 0.7392 0.7853  1 Zr 2.06
15 F 0.4465 0.1032 0.8106  1 Zr 2.07
16 F 0.9540 0.5351 0.2147  1 Zr 2.06
17 F 0.2926 0.6360 0.1894  1 Zr 2.07
18 F 0.0460 0.4649 0.7853  1 Zr 2.06
19 F 0.7821 0.1290 0.9111  2 Zr 2.11-2.13
20 Zr 0.1813 0.1347 0.3160  7 F 2.06-2.13
21 F 0.7074 0.3640 0.8106  1 Zr 2.07
22 F 0.1797 0.9649 0.4189  1 Zr 2.06
23 F 0.7926 0.6032 0.6566  1 Zr 2.07
24 F 0.7179 0.6290 0.3469  2 Zr 2.11-2.13
25 F 0.8203 0.0351 0.5811  1 Zr 2.06
26 F 0.6797 0.2608 0.2147  1 Zr 2.06
27 F 0.0000 0.0000 0.0000  2 Zr 2.13
28 F 0.5535 0.8968 0.1894  1 Zr 2.07

---

A plane-wave DFT calculation with PBE was carried out for crystalline NdZr3F15 at its relaxed geometry.

Computed properties:
**Total magnetization**: 0.0 μB per formula unit
**Raw formation energy**: -3.775 eV per atom
**Space group**: R3m

Cell: 7.5009 7.5009 7.5009 Å, 112.67 112.67 112.67°
Last column: nearest neighbours and their distance in Å.
Positions (direct):
1 F 0.6473 0.4333 0.1038  2 Zr 2.16-2.20
2 F 0.1038 0.4333 0.6473  2 Zr 2.16-2.20
3 F 0.1837 0.1837 0.4185  1 Zr 2.06
4 F 0.6443 0.6443 0.8672  1 Zr 2.01
5 Zr 0.3593 0.7895 0.3593  7 F 2.01-2.20
6 F 0.4333 0.6473 0.1038  2 Zr 2.16-2.20
7 F 0.8672 0.6443 0.6443  1 Zr 2.01
8 F 0.1016 0.7629 0.1016  1 Zr 2.01
9 F 0.7629 0.1016 0.1016  1 Zr 2.01
10 F 0.1837 0.4185 0.1837  1 Zr 2.06
11 Zr 0.7895 0.3593 0.3593  7 F 2.01-2.20
12 F 0.6473 0.1038 0.4333  2 Zr 2.16-2.20
13 F 0.4185 0.1837 0.1837  1 Zr 2.06
14 F 0.6443 0.8672 0.6443  1 Zr 2.01
15 F 0.4333 0.1038 0.6473  2 Zr 2.16-2.20
16 F 0.1016 0.1016 0.7629  1 Zr 2.01
17 Zr 0.3593 0.3593 0.7895  7 F 2.01-2.20
18 Nd 0.9981 0.9981 0.9981  9 F 2.36-2.44
19 F 0.1038 0.6473 0.4333  2 Zr 2.16-2.20

---

A plane-wave DFT calculation with PBE was carried out for crystalline Nd2ZrF at its relaxed geometry.

Computed properties:
**Total magnetization**: 0.0 μB per formula unit
**Raw formation energy**: -0.807 eV per atom
**Space group**: R-3m

Cell: 3.2712 3.2712 10.5763 Å, 81.10 81.10 60.00°
Last column: nearest neighbours and their distance in Å.
Positions (direct):
1 F 0.5000 0.5000 0.5000  6 Nd 2.72
2 Zr 0.0000 0.0000 0.0000  2 Nd 3.24, 6 Zr 3.27
3 Nd 0.8962 0.8962 0.3115  3 F 2.72
4 Nd 0.1038 0.1038 0.6885  3 F 2.72

---

A plane-wave DFT calculation with PBE was carried out for crystalline NdZrF7 at its relaxed geometry.

Computed properties:
**Total magnetization**: 0.1 μB per formula unit
**Raw formation energy**: -3.890 eV per atom
**Space group**: P2_1

Cell: 5.9539 6.2845 8.5177 Å, 77.29 90.00 90.00°
Last column: nearest neighbours and their distance in Å.
Positions (direct):
1 F 0.4692 0.5986 0.7920  1 Zr 2.05
2 Nd 0.1993 0.6555 0.3112  8 F 2.28-2.48
3 F 0.9720 0.0574 0.7548  1 Zr 2.05
4 F 0.7005 0.2334 0.9804  1 Zr 2.04
5 F 0.7123 0.1432 0.4688  1 Zr 2.04
6 Zr 0.2068 0.8134 0.7751  6 F 2.04-2.05
7 F 0.4437 0.0516 0.7655  1 Zr 2.05
8 F 0.4012 0.4559 0.5193  2 Nd 2.28-2.30
9 F 0.9012 0.5441 0.4807  2 Nd 2.28-2.30
10 F 0.4713 0.4269 0.2093  1 Zr 2.04
11 F 0.9713 0.5731 0.7907  1 Zr 2.04
12 F 0.9437 0.9484 0.2345  1 Zr 2.05
13 Nd 0.6993 0.3445 0.6888  8 F 2.28-2.48
14 F 0.2005 0.7666 0.0196  1 Zr 2.04
15 F 0.9692 0.4014 0.2080  1 Zr 2.05
16 F 0.2123 0.8568 0.5312  1 Zr 2.04
17 F 0.4720 0.9426 0.2452  1 Zr 2.05
18 Zr 0.7068 0.1866 0.2249  6 F 2.04-2.05